Entry from the Alexandria database: a relaxed structure of PmNpNiGe (PBE).

Geometry as POSCAR:
```
PmNpNiGe
1.0
0.0000 3.5262 3.5262
3.5262 0.0000 3.5262
3.5262 3.5262 0.0000
Pm Np Ni Ge
1 1 1 1
Direct
0.0000 0.0000 0.0000
0.5000 0.5000 0.5000
0.7500 0.7500 0.7500
0.2500 0.2500 0.2500
```

Computed properties:
The calculated formation energy is -0.10 eV per atom. The space group is F-43m (216).

=====

Entry from the Alexandria database: a relaxed structure of Pu2AsCl (PBE).

Geometry as POSCAR:
```
Pu2AsCl
1.0
3.5768 0.0000 0.0000
0.0000 3.5768 0.0000
0.0000 0.0000 7.2086
Pu As Cl
2 1 1
Direct
0.0000 0.0000 0.2250
0.0000 0.0000 0.7750
0.5000 0.5000 0.0000
0.5000 0.5000 0.5000
```

Computed properties:
The space group is P4/mmm (123). For the uncorrected formation energy, the calculation gives -1.025 eV per atom.